Record 1
First-principles (SCAN) data for K2CdBr at its PBEsol-relaxed geometry, as listed in Alexandria via LeMat-Bulk.

a = 3.9272 Å, b = 3.9272 Å, c = 8.6612 Å
α = 90.00°, β = 90.00°, γ = 90.00°
Last column: nearest neighbours and their distance in Å.
Space group P4/mmm (No. 123)
Asymmetric unit:
K 0.0000 0.0000 0.2217  4 Br 3.38, 4 Cd 3.68
Cd 0.5000 0.5000 0.5000  8 K 3.68, 4 Cd 3.93
Br 0.5000 0.5000 0.0000  8 K 3.38

Properties
DOS at the Fermi energy = 1.5 states/eV/cell
E_form (uncorrected) = -0.903 eV/atom

=====

Record 2
First-principles (SCAN) data for KCdBr2 at its PBEsol-relaxed geometry, as listed in Alexandria via LeMat-Bulk.

a = 4.4033 Å, b = 4.4033 Å, c = 27.5755 Å
α = 90.00°, β = 90.00°, γ = 120.00°
Last column: nearest neighbours and their distance in Å.
Space group R-3m (No. 166, hexagonal axes)
Asymmetric unit:
K 0.0000 0.0000 0.0000  6 Br 3.19
Cd 0.0000 0.0000 0.5000  2 Br 2.67
Br 0.0000 0.0000 0.4031  1 Cd 2.67

Properties
Energy above the most stable polymorph in this dataset = 0.000 eV per atom
DOS at the Fermi energy = 4.0 states/eV/cell
E_form (uncorrected) = -0.948 eV/atom

=====

Record 3
First-principles (SCAN) data for K2CdSiBr at its PBEsol-relaxed geometry, as listed in Alexandria via LeMat-Bulk.

a = 6.3956 Å, b = 6.3956 Å, c = 4.7147 Å
α = 90.00°, β = 90.00°, γ = 90.00°
Last column: nearest neighbours and their distance in Å.
Space group P4/mmm (No. 123)
Asymmetric unit:
K 0.0000 0.5000 0.0000  2 Si 3.20
Cd 0.0000 0.0000 0.5000  2 Si 2.36
Si 0.0000 0.0000 0.0000  2 Cd 2.36
Br 0.5000 0.5000 0.5000  8 K 3.97

Properties
DOS at the Fermi energy = 2.4 states/eV/cell
E_form (uncorrected) = -0.357 eV/atom

=====

Record 4
First-principles (SCAN) data for K2CdTeBr at its PBEsol-relaxed geometry, as listed in Alexandria via LeMat-Bulk.

a = 6.6458 Å, b = 6.6458 Å, c = 5.3422 Å
α = 90.00°, β = 90.00°, γ = 90.00°
Last column: nearest neighbours and their distance in Å.
Space group P4/mmm (No. 123)
Asymmetric unit:
K 0.0000 0.5000 0.0000  2 Cd 3.32
Cd 0.0000 0.0000 0.0000  2 Te 2.67
Te 0.0000 0.0000 0.5000  2 Cd 2.67
Br 0.5000 0.5000 0.5000  8 K 4.26, 4 Te 4.70

Properties
DOS at the Fermi energy = 0.3 states/eV/cell
E_form (uncorrected) = -0.724 eV/atom

=====

Record 5
First-principles (SCAN) data for La2CdBr at its PBEsol-relaxed geometry, as listed in Alexandria via LeMat-Bulk.

a = 3.5624 Å, b = 3.5624 Å, c = 8.4988 Å
α = 90.00°, β = 90.00°, γ = 90.00°
Last column: nearest neighbours and their distance in Å.
Space group P4/mmm (No. 123)
Asymmetric unit:
La 0.0000 0.0000 0.2472  4 Br 3.28, 4 Cd 3.31, 4 La 3.56
Cd 0.5000 0.5000 0.5000  8 La 3.31, 4 Cd 3.56
Br 0.5000 0.5000 0.0000  8 La 3.28, 4 Br 3.56

Properties
Energy above the most stable polymorph in this dataset = 0.066 eV per atom
DOS at the Fermi energy = 3.4 states/eV/cell
E_form (uncorrected) = -0.870 eV/atom

=====

Record 6
First-principles (SCAN) data for LaCdBr2 at its PBEsol-relaxed geometry, as listed in Alexandria via LeMat-Bulk.

a = 3.6429 Å, b = 3.6429 Å, c = 8.9548 Å
α = 90.00°, β = 90.00°, γ = 90.00°
Last column: nearest neighbours and their distance in Å.
Space group P4/mmm (No. 123)
Asymmetric unit:
La 0.0000 0.0000 0.0000  8 Br 3.10
Cd 0.0000 0.0000 0.5000  4 Cd 3.64, 8 Br 3.78
Br 0.5000 0.5000 0.1916  4 La 3.10, 1 Br 3.43

Properties
Energy above the most stable polymorph in this dataset = 0.000 eV per atom
DOS at the Fermi energy = 0.9 states/eV/cell
E_form (uncorrected) = -1.313 eV/atom

=====

Record 7
First-principles (SCAN) data for LaCdBr2 at its PBEsol-relaxed geometry, as listed in Alexandria via LeMat-Bulk.

a = 3.9527 Å, b = 5.7481 Å, c = 10.4785 Å
α = 90.00°, β = 90.00°, γ = 90.00°
Last column: nearest neighbours and their distance in Å.
Space group Immm (No. 71)
Asymmetric unit:
La 0.0000 0.0000 0.0000  4 Br 2.96
Cd 0.0000 0.0000 0.5000  4 La 3.49, 8 Br 3.62
Br 0.0000 0.5000 0.2899  2 La 2.96

Properties
Energy above the most stable polymorph in this dataset = 0.102 eV per atom
DOS at the Fermi energy = 3.7 states/eV/cell
E_form (uncorrected) = -1.211 eV/atom

=====

Record 8
First-principles (SCAN) data for La2CdBr at its PBEsol-relaxed geometry, as listed in Alexandria via LeMat-Bulk.

a = 4.0311 Å, b = 4.7364 Å, c = 6.2564 Å
α = 90.00°, β = 90.00°, γ = 90.00°
Last column: nearest neighbours and their distance in Å.
Space group Pmmm (No. 47)
Asymmetric unit:
La 0.0000 0.0000 0.0000  4 Br 3.11, 2 Cd 3.13
La 0.5000 0.5000 0.5000  4 Cd 3.11, 2 Br 3.13
Cd 0.0000 0.0000 0.5000  6 La 3.11-3.13
Br 0.5000 0.5000 0.0000  6 La 3.11-3.13

Properties
Energy above the most stable polymorph in this dataset = 0.000 eV per atom
DOS at the Fermi energy = 2.7 states/eV/cell
E_form (uncorrected) = -0.936 eV/atom

=====

Record 9
First-principles (SCAN) data for La2CdBr at its PBEsol-relaxed geometry, as listed in Alexandria via LeMat-Bulk.

a = 5.3027 Å, b = 3.5755 Å, c = 11.9687 Å
α = 90.00°, β = 90.00°, γ = 90.00°
Last column: nearest neighbours and their distance in Å.
Space group Amm2 (No. 38)
Asymmetric unit:
La 0.0000 0.0000 0.0000  3 Br 3.07-3.42, 4 Cd 3.20
La 0.5000 0.0000 0.2506  3 Cd 3.14-3.36, 4 Br 3.20
Cd 0.5000 0.0000 0.5126  7 La 3.14-3.36
Br 0.0000 0.0000 0.7436  7 La 3.07-3.42

Properties
Energy above the most stable polymorph in this dataset = 0.085 eV per atom
DOS at the Fermi energy = 4.8 states/eV/cell
E_form (uncorrected) = -0.851 eV/atom

=====

Record 10
First-principles (SCAN) data for La2CdBr at its PBEsol-relaxed geometry, as listed in Alexandria via LeMat-Bulk.

a = 7.5857 Å, b = 7.5857 Å, c = 7.5857 Å
α = 90.00°, β = 90.00°, γ = 90.00°
Last column: nearest neighbours and their distance in Å.
Space group F-43m (No. 216)
Asymmetric unit:
La 0.0000 0.0000 0.0000  4 La 3.28, 4 Br 3.28
La 0.2500 0.2500 0.2500  4 Cd 3.28, 4 La 3.28
Cd 0.0000 0.0000 0.5000  4 La 3.28, 4 Br 3.28
Br 0.2500 0.2500 0.7500  4 Cd 3.28, 4 La 3.28

Properties
Energy above the most stable polymorph in this dataset = 0.772 eV per atom
DOS at the Fermi energy = 19.2 states/eV/cell
E_form (uncorrected) = -0.164 eV/atom

=====

Record 11
First-principles (SCAN) data for La2CdBr at its PBEsol-relaxed geometry, as listed in Alexandria via LeMat-Bulk.

a = 4.9339 Å, b = 5.7180 Å, c = 7.9601 Å
α = 90.00°, β = 90.00°, γ = 90.00°
Last column: nearest neighbours and their distance in Å.
Space group Immm (No. 71)
Asymmetric unit:
La 0.0000 0.0000 0.2381  2 Br 3.11, 4 Cd 3.23-3.43
Cd 0.0000 0.5000 0.0000  8 La 3.23-3.43
Br 0.0000 0.5000 0.5000  4 La 3.11

Properties
Energy above the most stable polymorph in this dataset = 0.220 eV per atom
DOS at the Fermi energy = 9.5 states/eV/cell
E_form (uncorrected) = -0.716 eV/atom

=====

Record 12
First-principles (SCAN) data for Li2CdBr at its PBEsol-relaxed geometry, as listed in Alexandria via LeMat-Bulk.

a = 3.8023 Å, b = 6.0434 Å, c = 3.8126 Å
α = 90.00°, β = 90.00°, γ = 90.00°
Last column: nearest neighbours and their distance in Å.
Space group Pm (No. 6)
Asymmetric unit:
Li 0.0000 0.0000 0.0000  4 Br 2.63-2.76
Li 0.4979 0.5000 0.3199  4 Cd 2.67-2.71
Cd 0.9977 0.5000 0.8135  4 Li 2.67-2.71
Br 0.4998 0.0000 0.4752  4 Li 2.63-2.76

Properties
DOS at the Fermi energy = 1.0 states/eV/cell
E_form (uncorrected) = -0.651 eV/atom